MoAsP | PBE-GGA | relaxed

Results
- N(E_F): 2.03 states/eV/f.u.
- Distance to the lowest polymorph of the same formula: 0.93 eV/f.u.
- Symmetry: P-6m2, No. 187
- ΔH_f (0 K): 0.370 eV/f.u.

Lattice parameters (Å, degrees): 4.195 4.195 3.189 90.00 90.00 120.00
Atoms (fractional coordinates):
As: 0.000 0.000 0.000
Mo: 0.667 0.333 0.500
P: 0.333 0.667 0.500

Mo4AsP | PBE-GGA | relaxed

Results
- N(E_F): 4.99 states/eV/f.u.
- Symmetry: F-43m, No. 216
- ΔH_f (0 K): 3.669 eV/f.u.

Lattice parameters (Å, degrees): 5.215 5.215 5.215 60.00 60.00 60.00
Atoms (fractional coordinates):
Mo: 0.874 0.375 0.375
Mo: 0.375 0.375 0.874
Mo: 0.375 0.874 0.375
Mo: 0.375 0.375 0.375
As: 0.000 0.000 0.000
P: 0.750 0.750 0.750

Mo2As2P | PBE-GGA | relaxed

Results
- N(E_F): 4.50 states/eV/f.u.
- Distance to the lowest polymorph of the same formula: 0.02 eV/f.u.
- Symmetry: P4/mbm, No. 127
- ΔH_f (0 K): 1.690 eV/f.u.

Lattice parameters (Å, degrees): 7.216 7.216 3.128 90.00 90.00 90.00
Atoms (fractional coordinates):
P: 0.000 0.000 0.000
P: 0.500 0.500 0.000
Mo: 0.156 0.656 0.500
Mo: 0.656 0.844 0.500
Mo: 0.844 0.344 0.500
Mo: 0.344 0.156 0.500
As: 0.360 0.860 0.000
As: 0.860 0.640 0.000
As: 0.640 0.140 0.000
As: 0.140 0.360 0.000

MoAsP | PBE-GGA | relaxed

Results
- N(E_F): 3.44 states/eV/f.u.
- Distance to the lowest polymorph of the same formula: 1.86 eV/f.u.
- Symmetry: F-43m, No. 216
- ΔH_f (0 K): 1.308 eV/f.u.

Lattice parameters (Å, degrees): 4.172 4.172 4.172 60.00 60.00 60.00
Atoms (fractional coordinates):
As: 0.000 0.000 0.000
Mo: 0.500 0.500 0.500
P: 0.250 0.250 0.250

MoAs3P | PBE-GGA | relaxed

Results
- N(E_F): 3.01 states/eV/f.u.
- Distance to the lowest polymorph of the same formula: 1.29 eV/f.u.
- Symmetry: Pm-3m, No. 221
- ΔH_f (0 K): 5.186 eV/f.u.

Lattice parameters (Å, degrees): 4.661 4.661 4.661 90.00 90.00 90.00
Last column: magnetic moment on the atom in μB.
Atoms (fractional coordinates):
P: 0.000 0.000 0.000  -0.04
Mo: 0.500 0.500 0.500  2.64
As: 0.000 0.500 0.000  -0.11
As: 0.000 0.000 0.500  -0.12
As: 0.500 0.000 0.000  -0.06

MoAsP | PBE-GGA | relaxed

Results
- N(E_F): 2.17 states/eV/f.u.
- Distance to the lowest polymorph of the same formula: 1.08 eV/f.u.
- Symmetry: Fmmm, No. 69
- ΔH_f (0 K): 0.526 eV/f.u.

Lattice parameters (Å, degrees): 5.619 4.901 5.619 64.11 76.21 115.89
Atoms (fractional coordinates):
Mo: 0.327 0.000 0.673
Mo: 0.738 0.000 0.262
P: 0.243 0.420 0.757
P: 0.822 0.580 0.178
As: 0.284 0.000 0.219
As: 0.781 0.000 0.716

MoAsP4 | PBE-GGA | relaxed

Results
- N(E_F): 5.17 states/eV/f.u.
- Symmetry: F-43m, No. 216
- ΔH_f (0 K): 4.818 eV/f.u.

Lattice parameters (Å, degrees): 5.041 5.041 5.041 60.00 60.00 60.00
Last column: magnetic moment on the atom in μB.
Atoms (fractional coordinates):
Mo: 0.000 0.000 0.000  0.85
As: 0.750 0.750 0.750  -0.02
P: 0.873 0.376 0.376  0.01
P: 0.376 0.376 0.873  0.01
P: 0.376 0.873 0.376  0.01
P: 0.376 0.376 0.376  0.01

MoAsP | PBE-GGA | relaxed

Results
- N(E_F): 2.55 states/eV/f.u.
- Distance to the lowest polymorph of the same formula: 1.06 eV/f.u.
- Symmetry: Fmm2, No. 42
- ΔH_f (0 K): 0.504 eV/f.u.

Lattice parameters (Å, degrees): 7.387 7.208 2.859 82.23 75.22 22.55
Last column: magnetic moment on the atom in μB.
Atoms (fractional coordinates):
As: 0.973 0.973 0.027  0.00
Mo: 0.327 0.327 0.673  0.10
P: 0.700 0.700 0.300  0.00

Mo2As2P | PBE-GGA | relaxed

Results
- N(E_F): 6.26 states/eV/f.u.
- Distance to the lowest polymorph of the same formula: 0.00 eV/f.u.
- Symmetry: I4/mmm, No. 139
- ΔH_f (0 K): 1.671 eV/f.u.

Lattice parameters (Å, degrees): 4.585 4.585 5.363 64.69 64.69 90.00
Atoms (fractional coordinates):
P: 0.000 0.000 0.000
Mo: 0.750 0.250 0.500
Mo: 0.250 0.750 0.500
As: 0.362 0.362 0.277
As: 0.638 0.638 0.723

MoAsP | PBE-GGA | relaxed

Results
- N(E_F): 1.98 states/eV/f.u.
- Distance to the lowest polymorph of the same formula: 1.22 eV/f.u.
- Symmetry: F-43m, No. 216
- ΔH_f (0 K): 0.668 eV/f.u.

Lattice parameters (Å, degrees): 4.266 4.266 4.266 60.00 60.00 60.00
Last column: magnetic moment on the atom in μB.
Atoms (fractional coordinates):
As: 0.500 0.500 0.500  -0.02
Mo: 0.250 0.250 0.250  1.17
P: 0.000 0.000 0.000  -0.04

MoAsP | PBE-GGA | relaxed

Results
- N(E_F): 1.80 states/eV/f.u.
- Distance to the lowest polymorph of the same formula: 0.40 eV/f.u.
- Symmetry: I4mm, No. 107
- ΔH_f (0 K): -0.155 eV/f.u.

Lattice parameters (Å, degrees): 5.031 5.031 5.031 142.58 142.58 53.95
Atoms (fractional coordinates):
As: 0.992 0.992 0.000
Mo: 0.317 0.317 0.000
P: 0.691 0.691 0.000

MoAsP | PBE-GGA | relaxed

Results
- N(E_F): 1.01 states/eV/f.u.
- Distance to the lowest polymorph of the same formula: 0.00 eV/f.u.
- Symmetry: P3m1, No. 156
- ΔH_f (0 K): -0.557 eV/f.u.

Lattice parameters (Å, degrees): 3.192 3.192 5.501 90.00 90.00 120.00
Atoms (fractional coordinates):
As: 0.000 0.000 0.015
Mo: 0.667 0.333 0.347
P: 0.333 0.667 0.638

Mo2AsP2 | PBE-GGA | relaxed

Results
- N(E_F): 3.25 states/eV/f.u.
- Symmetry: P4/mbm, No. 127
- ΔH_f (0 K): -0.900 eV/f.u.

Lattice parameters (Å, degrees): 6.979 6.979 3.115 90.00 90.00 90.00
Atoms (fractional coordinates):
P: 0.134 0.634 0.500
P: 0.634 0.866 0.500
P: 0.866 0.366 0.500
P: 0.366 0.134 0.500
Mo: 0.348 0.848 0.000
Mo: 0.848 0.652 0.000
Mo: 0.652 0.152 0.000
Mo: 0.152 0.348 0.000
As: 0.000 0.000 0.000
As: 0.500 0.500 0.000

MoAsP3 | PBE-GGA | relaxed

Results
- N(E_F): 2.18 states/eV/f.u.
- Distance to the lowest polymorph of the same formula: 2.96 eV/f.u.
- Symmetry: Pm-3m, No. 221
- ΔH_f (0 K): 6.534 eV/f.u.

Lattice parameters (Å, degrees): 4.594 4.594 4.594 90.00 90.00 90.00
Last column: magnetic moment on the atom in μB.
Atoms (fractional coordinates):
P: 0.000 0.500 0.000  -0.14
P: 0.000 0.000 0.500  -0.14
P: 0.500 0.000 0.000  -0.07
Mo: 0.500 0.500 0.500  2.69
As: 0.000 0.000 0.000  -0.01

Mo2As3P | PBE-GGA | relaxed

Results
- N(E_F): 1.47 states/eV/f.u.
- Symmetry: Cm, No. 8
- ΔH_f (0 K): -1.921 eV/f.u.

Lattice parameters (Å, degrees): 4.793 4.793 7.710 62.32 62.32 40.17
Atoms (fractional coordinates):
Mo: 0.847 0.847 0.207
Mo: 0.163 0.163 0.790
As: 0.601 0.601 0.108
As: 0.406 0.406 0.893
As: 0.135 0.135 0.473
P: 0.849 0.849 0.530

MoAsP3 | PBE-GGA | relaxed

Results
- N(E_F): 4.08 states/eV/f.u.
- Distance to the lowest polymorph of the same formula: 0.00 eV/f.u.
- Symmetry: Pm-3m, No. 221
- ΔH_f (0 K): 3.578 eV/f.u.

Lattice parameters (Å, degrees): 4.691 4.691 4.691 90.00 90.00 90.00
Last column: magnetic moment on the atom in μB.
Atoms (fractional coordinates):
P: 0.000 0.500 0.000  -0.08
P: 0.000 0.000 0.500  -0.09
P: 0.500 0.000 0.000  -0.06
Mo: 0.000 0.000 0.000  0.37
As: 0.500 0.500 0.500  0.36

MoAs3P | PBE-GGA | relaxed

Results
- N(E_F): 4.57 states/eV/f.u.
- Distance to the lowest polymorph of the same formula: 0.00 eV/f.u.
- Symmetry: Pm-3m, No. 221
- ΔH_f (0 K): 3.895 eV/f.u.

Lattice parameters (Å, degrees): 4.853 4.853 4.853 90.00 90.00 90.00
Last column: magnetic moment on the atom in μB.
Atoms (fractional coordinates):
P: 0.500 0.500 0.500  0.31
Mo: 0.000 0.000 0.000  0.26
As: 0.000 0.500 0.000  -0.07
As: 0.000 0.000 0.500  -0.09
As: 0.500 0.000 0.000  -0.05

MoAs2PPt | PBE-GGA | relaxed

Results
- N(E_F): 3.49 states/eV/f.u.
- Symmetry: P4/mmm, No. 123
- ΔH_f (0 K): 4.600 eV/f.u.

Lattice parameters (Å, degrees): 4.659 4.459 4.659 90.00 90.00 90.00
Last column: magnetic moment on the atom in μB.
Atoms (fractional coordinates):
P: 0.000 0.000 0.000  -0.03
Mo: 0.000 0.500 0.000  0.70
As: 0.000 0.000 0.500  -0.02
As: 0.500 0.000 0.000  -0.03
Pt: 0.500 0.500 0.500  -0.02

MoAsP2S | PBE-GGA | relaxed

Results
- N(E_F): 2.65 states/eV/f.u.
- Distance to the lowest polymorph of the same formula: 2.88 eV/f.u.
- Symmetry: P4/mmm, No. 123

Lattice parameters (Å, degrees): 4.606 4.606 4.675 90.00 90.00 90.00
Last column: magnetic moment on the atom in μB.
Atoms (fractional coordinates):
S: 0.000 0.000 0.500  -0.19
P: 0.000 0.500 0.000  -0.21
P: 0.500 0.000 0.000  -0.21
Mo: 0.500 0.500 0.500  2.87
As: 0.000 0.000 0.000  0.01

MoAsP2S | PBE-GGA | relaxed

Results
- N(E_F): 4.67 states/eV/f.u.
- Distance to the lowest polymorph of the same formula: 0.00 eV/f.u.
- Symmetry: P4/mmm, No. 123

Lattice parameters (Å, degrees): 4.817 4.817 4.466 90.00 90.00 90.00
Last column: magnetic moment on the atom in μB.
Atoms (fractional coordinates):
S: 0.000 0.000 0.500  -0.02
P: 0.000 0.500 0.000  -0.06
P: 0.500 0.000 0.000  -0.06
Mo: 0.000 0.000 0.000  0.34
As: 0.500 0.500 0.500  0.35